[1]
DFT (PBE with a Hubbard U) results for an optimized crystal structure of Cr2SnF6.

Output
As for the raw total energy: -5.66 eV/atom.

Lattice parameters (Å, degrees): 5.6790 5.6790 4.9838 90.00 90.00 120.00
Space group P-31m (No. 162)
Inequivalent atoms, fractional coordinates:
Cr 0.3333 0.6667 0.0000 (multiplicity 2)
Sn 0.0000 0.0000 0.5000 (multiplicity 1)
F 0.0000 0.3564 0.2163 (multiplicity 6)

[2]
DFT (PBE with a Hubbard U) results for an optimized crystal structure of CrSn2F.

Output
The relative energy among the computed polymorphs comes out at 663 meV per atom.

Lattice parameters (Å, degrees): 6.6826 6.6826 6.6826 90.00 90.00 90.00
Space group Fm-3m (No. 225)
Inequivalent atoms, fractional coordinates:
Cr 0.0000 0.0000 0.0000 (multiplicity 4)
Sn 0.2500 0.2500 0.2500 (multiplicity 8)
F 0.0000 0.0000 0.5000 (multiplicity 4)

[3]
DFT (PBE with a Hubbard U) results for an optimized crystal structure of SrCrSnF6.

Output
As for the raw total energy: -5.49 eV/atom.

Lattice parameters (Å, degrees): 6.0430 6.0430 9.6720 90.00 90.00 120.00
Space group P-31c (No. 163)
Inequivalent atoms, fractional coordinates:
Sr 0.3333 0.6667 0.2500 (multiplicity 2)
Cr 0.3333 0.6667 0.7500 (multiplicity 2)
Sn 0.0000 0.0000 0.0000 (multiplicity 2)
F 0.0392 0.3623 0.6328 (multiplicity 12)

[4]
DFT (PBE with a Hubbard U) results for an optimized crystal structure of SrCrSn2F8.

Output
As for the raw total energy: -5.38 eV/atom.

Lattice parameters (Å, degrees): 4.2464 7.7873 5.7643 90.00 90.00 90.00
Space group P2/m (No. 10)
Inequivalent atoms, fractional coordinates:
Sr 0.0000 0.0000 0.0000 (multiplicity 1)
Cr 0.0000 0.5000 0.0000 (multiplicity 1)
Sn 0.5000 0.2661 0.5000 (multiplicity 2)
F 0.0013 0.2865 0.7679 (multiplicity 4)
F 0.4983 0.5000 0.2482 (multiplicity 2)
F 0.4997 0.0000 0.2361 (multiplicity 2)

Values of DOS at the Fermi energy, in order: 0.680 0.613 0.627 0.000, all in states/eV per atom.